Compound: RbTmPuO6
Source: the Alexandria database
Functional: PBE
Structure: optimized geometry

Summary:
The value obtained for the total energy is -7.95 eV per atom. As for the space-group type: P312. The uncorrected formation energy is -236.6 kJ per mole of atoms.

a = 5.7869 Å, b = 5.7875 Å, c = 6.0827 Å
α = 90.00°, β = 90.05°, γ = 60.01°
Atoms (fractional coordinates):
Tm: 0.6666 0.6667 0.5000
Pu: 0.3333 0.3333 0.5000
O: 0.0310 0.3722 0.3191
O: 0.3717 0.5968 0.3191
O: 0.5970 0.3719 0.6808
O: 0.3724 0.0312 0.6810
O: 0.0315 0.5965 0.6810
O: 0.5963 0.0314 0.3190
Rb: 0.0000 0.0001 0.0000